1.
Density functional theory data (PBE) for a geometry-optimized CeNdTlAu structure.

```
CeNdTlAu
1.0
5.397 0.000 0.000
2.699 4.674 0.000
2.699 1.558 4.407
Tl Ce Nd Au
1 1 1 1
Cartesian
5.397 3.116 2.203
8.096 4.674 3.305
2.699 1.558 1.102
0.000 0.000 0.000
```

Calculated values
Calculated density ... 10243 kg/m3
Size of the total moment ... 1.48 μB per cell
Relative energy among the computed polymorphs ... 53 meV/atom
DFT formation energy ... -0.431 eV/atom

***

2.
Density functional theory data (PBE) for a geometry-optimized CeNdTlAu structure.

```
CeNdTlAu
1.0
-2.827 -2.352 0.235
2.352 -2.835 -0.089
0.525 0.180 8.108
Tl Ce Au Nd
1 1 1 1
Cartesian
-0.181 -2.574 0.943
0.198 0.068 3.064
0.081 -2.484 5.000
0.438 0.150 6.772
```

Calculated values
Calculated density ... 10319 kg/m3
Size of the total moment ... 1.08 μB per cell
Relative energy among the computed polymorphs ... 0 meV/atom
DFT formation energy ... -0.484 eV/atom

***

3.
Density functional theory data (PBE) for a geometry-optimized CeNdZnAu structure.

```
CeNdZnAu
1.0
-0.081 2.801 -4.410
-4.373 0.263 -2.848
-2.715 4.460 -0.213
Zn Au Ce Nd
1 1 1 1
Cartesian
0.000 0.000 0.000
-3.585 3.762 -3.735
-5.377 5.643 -5.603
-1.792 1.881 -1.868
```

Calculated values
Calculated density ... 9000 kg/m3
Size of the total moment ... 1.20 μB per cell
DFT formation energy ... -0.425 eV/atom

***

4.
Density functional theory data (PBE) for a geometry-optimized Ce2NdZn2Au2 structure.

```
Ce2NdZn2Au2
1.0
-1.143 -1.997 3.877
3.049 -0.445 3.291
-1.844 7.157 5.764
Au Zn Nd Ce
2 2 1 2
Cartesian
0.091 0.936 3.130
-0.029 3.779 9.801
0.719 0.146 5.529
-0.657 4.569 7.402
0.000 0.000 0.000
0.863 0.911 8.587
-0.801 3.804 4.344
```

Calculated values
Calculated density ... 9946 kg/m3
Size of the total moment ... 0.00 μB per cell
DFT formation energy ... -0.489 eV/atom

***

5.
Density functional theory data (PBE) for a geometry-optimized CeNi2Au structure.

```
CeNi2Au
1.0
2.822 0.000 0.000
1.411 2.444 0.000
1.411 0.815 9.977
Ce Au Ni
1 1 2
Cartesian
2.822 1.629 4.989
0.000 0.000 0.000
4.233 2.444 2.634
1.411 0.815 7.343
```

Calculated values
Calculated density ... 10968 kg/m3
Size of the total moment ... 0.05 μB per cell
DFT formation energy ... 0.350 eV/atom

***

6.
Density functional theory data (PBE) for a geometry-optimized Ce5NiAu2 structure.

```
Ce5NiAu2
1.0
-1.183 -1.334 -4.337
-6.207 -2.396 2.430
-4.982 10.887 -1.989
Ce Au Ni
10 4 2
Cartesian
-4.573 8.405 -1.337
-7.239 6.250 0.053
-10.086 7.761 -2.170
-2.491 5.444 -0.994
-7.323 2.422 -1.282
-3.950 2.240 0.389
-5.050 4.735 -2.613
-3.103 -1.198 1.215
-6.616 0.086 1.779
-2.286 -0.604 -1.725
-5.352 -0.122 -1.037
-9.486 4.688 -1.388
-2.887 2.470 -2.507
-7.020 7.279 -2.858
-5.595 4.245 0.221
0.000 0.000 0.000
```

Calculated values
Calculated density ... 9501 kg/m3
Size of the total moment ... 8.50 μB per cell
DFT formation energy ... -0.339 eV/atom

***

7.
Density functional theory data (PBE) for a geometry-optimized CeNi9Au2 structure.

```
CeNi9Au2
1.0
-4.666 -1.218 -0.153
0.776 -3.876 7.170
-1.933 6.909 3.944
Au Ni Ce
4 18 2
Cartesian
0.247 -1.569 4.937
-1.404 4.602 6.176
-0.520 0.891 8.749
-0.637 2.142 2.365
-1.842 -3.235 5.861
-4.684 3.076 3.828
-3.362 2.591 5.836
-3.605 -0.942 2.897
-2.684 0.574 1.204
-3.980 5.050 5.100
-2.326 3.691 3.906
-1.246 -0.326 2.975
-2.948 1.265 3.739
-1.139 -1.261 7.132
-3.300 2.845 1.895
-2.460 -0.776 5.125
-4.576 2.141 7.986
-2.218 2.757 8.063
-2.875 0.550 7.222
-3.139 1.241 9.756
-3.497 -1.876 7.055
-1.945 -2.547 3.508
0.000 0.000 0.000
-0.578 1.517 5.557
```

Calculated values
Calculated density ... 10909 kg/m3
Size of the total moment ... 6.59 μB per cell
DFT formation energy ... -0.167 eV/atom

***

8.
Density functional theory data (PBE) for a geometry-optimized CeNi2Au structure.

```
CeNi2Au
1.0
-4.365 0.910 -1.016
-3.147 -3.307 0.267
-3.147 0.101 3.317
Ni Au Ce
2 1 1
Cartesian
-7.994 -1.722 1.925
-2.665 -0.574 0.642
-5.330 -1.148 1.284
0.000 0.000 0.000
```

Calculated values
Calculated density ... 11159 kg/m3
Size of the total moment ... 0.00 μB per cell
DFT formation energy ... -0.305 eV/atom

***

9.
Density functional theory data (PBE) for a geometry-optimized Ce6Ni2Au structure.

```
Ce6Ni2Au
1.0
7.830 -0.877 -2.631
-4.745 6.595 -1.729
0.126 0.877 8.259
Au Ce Ni
2 12 4
Cartesian
0.000 0.000 0.000
-2.310 3.736 3.265
2.792 4.800 1.249
2.563 1.671 -0.099
0.648 4.924 3.998
-0.556 3.737 0.786
5.639 -0.170 0.466
0.419 1.795 2.650
-1.981 5.677 6.043
3.767 2.858 3.112
5.192 0.918 -2.144
-2.428 6.765 3.433
-0.634 2.548 5.810
3.845 4.047 -1.911
4.991 0.000 3.531
2.965 0.000 2.097
2.200 2.876 5.327
1.010 3.720 -1.428
```

Calculated values
Calculated density ... 9191 kg/m3
Size of the total moment ... 4.41 μB per cell
DFT formation energy ... -0.210 eV/atom

***

10.
Density functional theory data (PBE) for a geometry-optimized CeNi2Au9 structure.

```
CeNi2Au9
1.0
-4.245 5.066 -2.466
-3.917 -2.029 -7.515
-8.228 -0.620 2.800
Au Ni Ce
18 4 2
Cartesian
-8.542 0.278 -6.015
-4.631 0.168 -5.706
-3.772 -0.265 -3.031
-8.315 2.697 -1.437
0.000 0.000 0.000
-9.251 -2.298 -5.043
-4.816 0.076 -0.533
-10.228 0.829 -1.981
-6.629 2.146 -5.471
-11.106 1.784 -6.376
-4.440 2.399 -3.674
-9.256 2.475 -4.207
-5.484 2.740 -1.176
-10.295 -1.957 -2.545
-9.169 -0.842 0.030
-6.544 -1.700 -6.251
-12.150 2.125 -3.878
-7.256 1.026 0.575
-10.865 3.460 -1.936
-8.709 2.756 -7.094
-6.751 3.770 -3.336
-10.700 -0.087 -4.461
-2.122 2.533 -1.233
-7.134 -0.058 -2.974
```

Calculated values
Calculated density ... 15055 kg/m3
Size of the total moment ... 2.23 μB per cell
DFT formation energy ... -0.133 eV/atom

***

11.
Density functional theory data (PBE) for a geometry-optimized Ce2Ni15Au2 structure.

```
Ce2Ni15Au2
1.0
-3.535 4.676 -2.535
-1.949 -3.199 -5.172
-5.630 -1.914 2.329
Ni Au Ce
15 2 2
Cartesian
-6.286 1.279 -0.975
-2.815 -0.957 1.165
-0.975 -1.600 -2.586
-4.829 -1.716 -4.404
-2.434 -0.791 -4.366
-1.768 2.338 -1.268
-3.075 -2.806 -2.879
-3.050 2.268 -3.342
-4.176 2.661 -1.048
-4.505 -2.307 0.036
-6.628 -1.088 -0.737
-5.604 2.133 -3.115
-4.990 0.101 0.842
-5.511 -2.570 -2.264
-4.487 0.651 -4.641
-1.190 -0.047 -0.576
-9.924 -0.391 -4.803
-3.866 -0.152 -1.871
-7.248 -0.285 -3.508
```

Calculated values
Calculated density ... 10126 kg/m3
Size of the total moment ... 3.77 μB per cell
DFT formation energy ... -0.180 eV/atom

***

12.
Density functional theory data (PBE) for a geometry-optimized Ce4NiAu2 structure.

```
Ce4NiAu2
1.0
-2.470 4.011 1.992
-4.016 -3.810 2.692
4.749 1.050 3.773
Au Ce Ni
2 4 1
Cartesian
-2.137 -2.768 2.924
2.870 0.008 3.542
1.140 2.530 2.883
-3.243 0.100 2.342
0.514 -1.934 4.531
0.219 -0.826 1.935
-0.868 0.625 4.229
```

Calculated values
Calculated density ... 9233 kg/m3
Size of the total moment ... 3.39 μB per cell
DFT formation energy ... -0.299 eV/atom

***

13.
Density functional theory data (PBE) for a geometry-optimized CeNi6Au2 structure.

```
CeNi6Au2
1.0
-2.480 4.288 2.852
-5.251 1.734 -1.445
-4.415 -1.054 3.474
Au Ni Ce
2 6 1
Cartesian
-9.109 3.726 3.661
-3.036 1.242 1.220
-5.372 0.989 2.877
-6.773 3.978 2.004
-5.726 2.167 0.800
-4.555 3.246 2.615
-7.590 1.722 2.267
-6.420 2.800 4.082
0.000 0.000 0.000
```

Calculated values
Calculated density ... 11145 kg/m3
Size of the total moment ... 0.00 μB per cell
DFT formation energy ... 0.163 eV/atom

***

14.
Density functional theory data (PBE) for a geometry-optimized Ce3Ni2Au4 structure.

```
Ce3Ni2Au4
1.0
-2.284 -4.145 0.197
2.134 -3.721 3.381
-6.852 1.335 5.582
Au Ce Ni
4 3 2
Cartesian
-4.567 -0.028 3.404
-0.225 -2.498 1.773
-2.435 -6.503 5.756
-6.777 -4.033 7.387
-4.950 -2.427 5.421
-2.052 -4.104 3.739
0.000 0.000 0.000
-2.475 -1.245 2.045
-4.527 -5.286 7.115
```

Calculated values
Calculated density ... 11080 kg/m3
Size of the total moment ... 2.13 μB per cell
DFT formation energy ... -0.459 eV/atom

***

15.
Density functional theory data (PBE) for a geometry-optimized CeNpNiAu structure.

```
CeNpNiAu
1.0
-0.889 4.294 1.840
-1.331 0.409 4.547
2.981 1.884 3.190
Au Np Ce Ni
1 1 1 1
Cartesian
0.190 1.647 2.394
0.571 4.940 7.182
0.381 3.293 4.788
0.000 0.000 0.000
```

Calculated values
Calculated density ... 13822 kg/m3
Size of the total moment ... 4.26 μB per cell
DFT formation energy ... -0.222 eV/atom

***

16.
Density functional theory data (PBE) for a geometry-optimized Ce2Ni12P3Au structure.

```
Ce2Ni12P3Au
1.0
-1.650 -4.710 3.868
5.086 0.502 3.708
-2.779 3.723 4.275
Ni Ce Au P
12 2 1 3
Cartesian
1.337 1.900 7.749
-1.944 -0.639 7.827
2.864 0.074 6.408
2.600 0.154 4.024
-2.208 -0.559 5.443
-1.231 1.723 4.301
-0.681 -2.385 4.102
1.836 -2.215 5.151
-0.599 -2.606 6.490
-1.180 1.730 6.700
1.256 2.121 5.361
1.887 -2.208 7.550
0.223 -0.164 4.018
0.434 -0.320 7.833
0.000 0.000 0.000
-1.390 1.862 2.138
2.543 0.251 1.854
-0.825 -2.355 1.934
```

Calculated values
Calculated density ... 8505 kg/m3
Size of the total moment ... 0.00 μB per cell
DFT formation energy ... -0.128 eV/atom

***

17.
Density functional theory data (PBE) for a geometry-optimized CePmNiAu structure.

```
CePmNiAu
1.0
-2.615 -3.251 2.904
-1.187 -4.611 -1.782
2.290 -4.124 1.894
Ni Pm Au Ce
1 1 1 1
Cartesian
-0.378 -2.997 0.754
0.000 0.000 0.000
-1.134 -8.990 2.262
-0.756 -5.993 1.508
```

Calculated values
Calculated density ... 9666 kg/m3
Size of the total moment ... 0.84 μB per cell
DFT formation energy ... -0.404 eV/atom

***

18.
Density functional theory data (PBE) for a geometry-optimized CePrNiAu structure.

```
CePrNiAu
1.0
5.121 0.000 0.000
2.560 4.435 0.000
2.560 1.478 4.181
Pr Au Ni Ce
1 1 1 1
Cartesian
5.121 2.957 2.091
7.681 4.435 3.136
2.560 1.478 1.045
0.000 0.000 0.000
```

Calculated values
Calculated density ... 9386 kg/m3
Size of the total moment ... 0.93 μB per cell
DFT formation energy ... -0.373 eV/atom

***

19.
Density functional theory data (PBE) for a geometry-optimized CeNiRhAu structure.

```
CeNiRhAu
1.0
-1.606 3.437 -0.562
-3.666 -1.806 -0.567
-0.820 0.318 4.289
Au Rh Ni Ce
1 1 1 1
Cartesian
-2.636 0.816 -0.565
-2.243 -0.744 1.861
0.000 0.000 0.000
-1.213 1.878 1.863
```

Calculated values
Calculated density ... 11951 kg/m3
Size of the total moment ... 0.24 μB per cell
Relative energy among the computed polymorphs ... 0 meV/atom
DFT formation energy ... -0.535 eV/atom

***

20.
Density functional theory data (PBE) for a geometry-optimized CeNiRhAu structure.

```
CeNiRhAu
1.0
4.639 0.000 0.000
2.320 4.018 0.000
2.320 1.339 3.788
Ce Ni Au Rh
1 1 1 1
Cartesian
0.000 0.000 0.000
2.320 1.339 0.947
4.639 2.678 1.894
6.959 4.018 2.841
```

Calculated values
Calculated density ... 11729 kg/m3
Size of the total moment ... 0.00 μB per cell
Relative energy among the computed polymorphs ... 129 meV/atom
DFT formation energy ... -0.407 eV/atom